Entry 1:
Here is Pm2Nd6Er3Tl after structural relaxation from Alexandria. Energies are from PBE-GGA.

POSCAR file:
```
Pm2Nd6Er3Tl
1.0
-3.131 -3.030 4.443
-0.356 -1.894 -5.916
10.383 -5.378 2.192
Pm Nd Er Tl
2 6 3 1
Direct
0.334 0.666 0.000
0.666 0.334 0.000
0.916 0.589 0.748
0.757 0.757 0.253
0.084 0.411 0.252
0.589 0.916 0.748
0.243 0.243 0.747
0.411 0.084 0.252
0.167 0.833 0.500
0.833 0.167 0.500
0.500 0.500 0.500
0.000 0.000 0.000
```

Energy relative to the elements   -0.0236 eV/atom
Symmetry   C2/m, No. 12



Entry 2:
Here is Ce5ScPb4 after structural relaxation from Alexandria. Energies are from PBE-GGA.

POSCAR file:
```
Ce5ScPb4
1.0
-1.908 -0.635 -2.873
7.524 -5.487 -3.784
-1.759 -7.102 4.877
Ce Sc Pb
5 1 4
Direct
0.818 0.597 0.636
0.836 0.236 0.671
0.164 0.764 0.329
0.500 0.500 0.000
0.182 0.403 0.364
0.500 0.000 0.000
0.326 0.921 0.652
0.976 0.769 0.953
0.674 0.079 0.348
0.024 0.231 0.047
```

Energy relative to the elements   -0.0638 eV/atom
Symmetry   C2/m, No. 12



Entry 3:
Here is VAsAuBr2 after structural relaxation from Alexandria. Energies are from PBE-GGA.

POSCAR file:
```
VAsAuBr2
1.0
4.770 0.000 0.000
0.000 4.770 0.000
0.000 0.000 5.203
As Au Br V
1 1 2 1
Direct
0.000 0.000 0.500
0.500 0.500 0.500
0.000 0.500 0.000
0.500 0.000 0.000
0.000 0.000 0.000
```

Distance to the lowest polymorph of the same formula   0 meV/atom
Symmetry   P4/mmm, No. 123
ΔE_f (raw)   0.284 eV/atom



Entry 4:
Here is PmZn12Rh6 after structural relaxation from Alexandria. Energies are from PBE-GGA.

POSCAR file:
```
PmZn12Rh6
1.0
7.078 0.017 0.024
-1.738 6.861 0.024
-1.738 -2.239 6.485
Pm Zn Rh
1 12 6
Direct
0.000 0.000 0.000
0.888 0.112 0.500
0.856 0.596 0.596
0.596 0.596 0.856
0.404 0.144 0.404
0.404 0.404 0.144
0.144 0.404 0.404
0.112 0.500 0.888
0.500 0.888 0.112
0.112 0.888 0.500
0.888 0.500 0.112
0.500 0.112 0.888
0.596 0.856 0.596
0.703 0.270 0.270
0.270 0.270 0.703
0.270 0.703 0.270
0.730 0.730 0.297
0.297 0.730 0.730
0.730 0.297 0.730
```

Energy relative to the elements   -0.1990 eV/atom
Symmetry   R-3m, No. 166



Entry 5:
Here is Zr2GeH after structural relaxation from Alexandria. Energies are from PBE-GGA.

POSCAR file:
```
Zr2GeH
1.0
0.000 3.223 3.223
3.223 0.000 3.223
3.223 3.223 0.000
H Ge Zr
1 1 2
Direct
0.000 0.000 0.000
0.500 0.500 0.500
0.250 0.250 0.250
0.750 0.750 0.750
```

Distance to the lowest polymorph of the same formula   368 meV/atom
Symmetry   Fm-3m, No. 225



Entry 6:
Here is BPtRh2 after structural relaxation from Alexandria. Energies are from PBE-GGA.

POSCAR file:
```
BPtRh2
1.0
5.583 0.000 0.000
0.000 7.071 0.000
0.000 0.000 5.310
B Pt Rh
4 4 8
Direct
0.063 0.080 0.147
0.563 0.920 0.853
0.563 0.580 0.353
0.063 0.420 0.647
0.063 0.504 0.017
0.563 0.496 0.983
0.563 0.004 0.483
0.063 0.996 0.517
0.810 0.175 0.886
0.310 0.825 0.114
0.310 0.675 0.614
0.810 0.325 0.386
0.315 0.175 0.886
0.815 0.825 0.114
0.815 0.675 0.614
0.315 0.325 0.386
```

Energy relative to the elements   -0.1397 eV/atom
Symmetry   Pnma, No. 62



Number 1: theoretical density 7.9 g/cm³, N(E_F) 13.42 states/eV per cell. Number 2: theoretical density 8.6 g/cm³, N(E_F) 28.28 states/eV per cell. Number 3: theoretical density 6.8 g/cm³, N(E_F) 3.22 states/eV per cell. Number 4: theoretical density 8.1 g/cm³, N(E_F) 12.77 states/eV per cell. Number 5: theoretical density 6.4 g/cm³, N(E_F) 2.60 states/eV per cell. Number 6: theoretical density 13.0 g/cm³, N(E_F) 17.34 states/eV per cell.